No. 1
DFT (GGA-PBE) results for a relaxed structure of SmTlZnPd.

symmetry = F-43m, No. 216
formation enthalpy at 0 K = -0.43 eV per atom

Lattice parameters (Å, degrees): 4.918 4.918 4.918 60.00 60.00 60.00
Fractional coordinates of all 4 atoms:
1 Sm 0.250 0.250 0.250
2 Zn 0.000 0.000 0.000
3 Pd 0.500 0.500 0.500
4 Tl 0.750 0.750 0.750



No. 2
DFT (GGA-PBE) results for a relaxed structure of LuSc3N.

symmetry = Pm-3m, No. 221

Lattice parameters (Å, degrees): 4.621 4.621 4.621 90.00 90.00 90.00
Fractional coordinates of all 5 atoms:
1 Sc 0.000 0.500 0.000
2 Sc 0.000 0.000 0.500
3 Lu 0.500 0.500 0.500
4 Sc 0.500 0.000 0.000
5 N 0.000 0.000 0.000



No. 3
DFT (GGA-PBE) results for a relaxed structure of NaHg12Au4.

symmetry = Im-3, No. 204
formation enthalpy at 0 K = 0.01 eV per atom

Lattice parameters (Å, degrees): 8.566 8.566 8.566 109.47 109.47 109.47
Fractional coordinates of all 17 atoms:
1 Hg 0.192 0.846 0.346
2 Au 0.500 0.000 0.000
3 Hg 0.154 0.654 0.808
4 Hg 0.846 0.346 0.192
5 Au 0.500 0.500 0.500
6 Hg 0.500 0.846 0.654
7 Au 0.000 0.500 0.000
8 Hg 0.346 0.500 0.154
9 Na 0.000 0.000 0.000
10 Hg 0.654 0.500 0.846
11 Hg 0.346 0.192 0.846
12 Hg 0.846 0.654 0.500
13 Au 0.000 0.000 0.500
14 Hg 0.654 0.808 0.154
15 Hg 0.154 0.346 0.500
16 Hg 0.808 0.154 0.654
17 Hg 0.500 0.154 0.346



No. 4
DFT (GGA-PBE) results for a relaxed structure of Rb3Th3Te8Pd.

symmetry = C2/m, No. 12

Lattice parameters (Å, degrees): 9.203 8.977 10.028 115.27 90.00 120.83
Fractional coordinates of all 15 atoms:
1 Te 0.263 0.526 0.290
2 Te 0.275 0.039 0.302
3 Te 0.208 0.416 0.677
4 Rb 0.000 0.000 0.000
5 Rb 0.000 0.500 0.000
6 Te 0.725 0.961 0.698
7 Th 0.500 0.500 0.500
8 Th 0.000 0.500 0.500
9 Te 0.792 0.584 0.323
10 Te 0.235 0.961 0.698
11 Pd 0.000 0.000 0.500
12 Th 0.500 0.000 0.500
13 Rb 0.500 0.500 0.000
14 Te 0.737 0.474 0.710
15 Te 0.765 0.039 0.302



| no. | VASP energy (eV/atom) |
| --- | --- |
| 1 | -3.819 |
| 2 | -6.916 |
| 3 | -1.048 |
| 4 | -4.720 |